A plane-wave DFT calculation with PBE was carried out for NbFeSe after structural relaxation.

Geometry as POSCAR:
```
NbFeSe
1.0
3.357 0.000 0.000
-1.679 2.907 0.000
0.000 0.000 10.402
Se Fe Nb
2 2 2
Cartesian
1.679 0.646 3.507
1.679 0.646 6.895
0.000 1.615 5.201
1.679 0.646 0.000
0.000 1.615 8.785
0.000 1.615 1.617
```

Results
**Total energy**: -7.450 eV per atom
**Calculated volume**: 16.92 Å³/atom
**Calculated density**: 7.45 g/cm3
**Space group**: No. 187